[1]
This record from Alexandria via LeMat-Bulk describes a relaxed structure of ZrBPbCl2. The functional is PBE.

Geometry as POSCAR:
```
ZrBPbCl2
1.0
5.336 0.000 0.000
0.000 5.336 0.000
0.000 0.000 6.090
Zr B Pb Cl
1 1 1 2
Cartesian
0.000 0.000 0.000
2.668 2.668 0.000
0.000 0.000 3.045
0.000 2.668 3.045
2.668 0.000 3.045
```

uncorrected formation energy = 1263.8 meV per atom

***

[2]
This record from Alexandria via LeMat-Bulk describes a relaxed structure of ThZr5Bi6. The functional is PBE.

Geometry as POSCAR:
```
ThZr5Bi6
1.0
3.711 -6.426 0.000
3.711 6.426 0.000
-2.311 0.000 7.090
Th Zr Bi
1 5 6
Cartesian
0.000 0.000 0.000
2.556 4.851 3.545
3.711 2.451 0.000
2.556 0.000 3.545
3.711 -2.451 0.000
2.556 -4.851 3.545
1.386 2.296 2.000
0.410 0.000 5.564
1.386 -2.296 2.000
3.726 2.296 5.090
4.701 0.000 1.525
3.726 -2.296 5.090
```

ΔE_f = -2.79 eV per formula unit

***

[3]
This record from Alexandria via LeMat-Bulk describes a relaxed structure of LaAlCo3. The functional is PBE.

Geometry as POSCAR:
```
LaAlCo3
1.0
4.405 0.000 0.000
0.000 4.405 0.000
0.000 0.000 4.405
La Al Co
1 1 3
Cartesian
0.000 0.000 0.000
2.202 2.202 2.202
0.000 2.202 2.202
2.202 0.000 2.202
2.202 2.202 0.000
```

ΔE_f = 1.38 eV per formula unit

***

[4]
This record from Alexandria via LeMat-Bulk describes a relaxed structure of Na2Li2As. The functional is PBE.

Geometry as POSCAR:
```
Na2Li2As
1.0
7.158 0.000 0.000
0.000 7.158 0.000
0.000 0.000 4.791
Na Li As
4 4 2
Cartesian
0.996 2.583 0.000
2.583 6.162 0.000
4.575 0.996 0.000
6.162 4.575 0.000
1.406 4.985 2.396
2.173 1.406 2.396
4.985 5.752 2.396
5.752 2.173 2.396
0.000 0.000 0.000
3.579 3.579 0.000
```

ΔE_f = -0.17 eV per formula unit

***

[5]
This record from Alexandria via LeMat-Bulk describes a relaxed structure of KTaCu. The functional is PBE.

Geometry as POSCAR:
```
KTaCu
1.0
2.975 0.000 0.000
-1.488 2.577 0.000
0.000 0.000 8.293
K Ta Cu
1 1 1
Cartesian
0.000 0.000 0.000
1.488 0.859 3.291
0.000 1.718 5.389
```

ΔE_f = 2.61 eV per formula unit

***

[6]
This record from Alexandria via LeMat-Bulk describes a relaxed structure of ThSiIr2. The functional is PBE.

Geometry as POSCAR:
```
ThSiIr2
1.0
4.031 0.000 0.000
0.000 4.031 0.000
0.000 0.000 9.586
Th Si Ir
2 2 4
Cartesian
1.008 1.008 2.007
3.023 3.023 7.579
1.008 1.008 6.094
3.023 3.023 3.492
1.008 1.008 8.448
1.008 3.023 4.793
3.023 1.008 4.793
3.023 3.023 1.139
```

uncorrected formation energy = -949.8 meV per atom